This record from Alexandria via LeMat-Bulk describes crystalline AcErTeO5 at its relaxed geometry. The functional is GGA-PBE.

abc: 6.1963 6.1963 8.5988
angles: 109.78 109.78 99.17
Last column: nearest neighbours and their distance in Å.
Fractional positions:
Ac 0.3084 0.6916 0.2500  3 O 2.36-2.57
Ac 0.6916 0.3084 0.7500  3 O 2.36-2.57
Er 0.0000 0.0000 0.5000  6 O 2.22-2.31
Er 0.0000 0.0000 0.0000  6 O 2.22-2.31
Te 0.7146 0.2854 0.2500  2 O 1.91
Te 0.2854 0.7146 0.7500  2 O 1.91
O 0.0580 0.9420 0.2500  2 Er 2.22, 1 Ac 2.36
O 0.9420 0.0580 0.7500  2 Er 2.22, 1 Ac 2.36
O 0.8824 0.3427 0.0762  1 Te 2.18, 1 Er 2.31
O 0.1176 0.6573 0.9238  1 Te 2.18, 1 Er 2.31
O 0.6573 0.1176 0.4238  1 Te 2.18, 1 Er 2.31
O 0.3427 0.8824 0.5762  1 Te 2.18, 1 Er 2.31
O 0.7598 0.6157 0.3928  1 Te 1.91
O 0.2402 0.3843 0.6072  1 Te 1.91
O 0.3843 0.2402 0.1072  1 Te 1.91
O 0.6157 0.7598 0.8928  1 Te 1.91

Computed properties:
Formation energy without anion corrections ... -20.23 eV per formula unit
Space group ... No. 15
D(E_F) ... 0.000 states/eV/cell

---

This record from Alexandria via LeMat-Bulk describes crystalline AcErTe2O at its relaxed geometry. The functional is GGA-PBE.

abc: 4.3342 4.3342 15.7349
angles: 90.00 90.00 90.00
Last column: nearest neighbours and their distance in Å.
Fractional positions:
Ac 0.5000 0.0000 0.5790  4 O 2.50
Ac 0.0000 0.5000 0.4210  4 O 2.50
Er 0.5000 0.0000 0.1193  5 Te 2.83-3.11
Er 0.0000 0.5000 0.8807  5 Te 2.83-3.11
Te 0.0000 0.5000 0.7012  1 Er 2.83
Te 0.0000 0.5000 0.0873  5 Er 3.11-3.25
Te 0.5000 0.0000 0.9127  5 Er 3.11-3.25
Te 0.5000 0.0000 0.2988  1 Er 2.83
O 0.0000 0.0000 0.5000  4 Ac 2.50
O 0.5000 0.5000 0.5000  4 Ac 2.50

Computed properties:
Formation energy without anion corrections ... -10.59 eV per formula unit
Space group ... No. 129
D(E_F) ... 2.562 states/eV/cell

---

This record from Alexandria via LeMat-Bulk describes crystalline AcErTeO6 at its relaxed geometry. The functional is GGA-PBE.

abc: 5.5976 5.5976 5.2641
angles: 90.00 90.00 60.00
Last column: nearest neighbours and their distance in Å.
Fractional positions:
Ac 0.0000 0.0000 0.0000  6 O 2.56
Er 0.6666 0.6667 0.5000  6 O 2.24
Te 0.3333 0.3333 0.5000  6 O 1.96
O 0.0376 0.3472 0.2887  1 Te 1.96
O 0.3471 0.0377 0.7113  1 Te 1.96
O 0.6151 0.3472 0.7113  1 Te 1.96
O 0.0376 0.6152 0.7113  1 Te 1.96
O 0.3473 0.6151 0.2886  1 Te 1.96
O 0.6151 0.0376 0.2887  1 Te 1.96

Computed properties:
Formation energy without anion corrections ... -22.53 eV per formula unit
Space group ... No. 149
D(E_F) ... 0.000 states/eV/cell

---

This record from Alexandria via LeMat-Bulk describes crystalline AcErTeO2 at its relaxed geometry. The functional is GGA-PBE.

abc: 4.2416 7.1303 8.0887
angles: 107.95 90.00 90.00
Last column: nearest neighbours and their distance in Å.
Fractional positions:
Ac 0.2500 0.6897 0.9277  4 O 2.44-2.55
Ac 0.7500 0.3103 0.0723  4 O 2.44-2.55
Er 0.2500 0.6484 0.4160  4 O 2.20-2.31
Er 0.7500 0.3516 0.5840  4 O 2.20-2.31
Te 0.2500 0.0494 0.7324  3 Er 3.20-3.49, 3 Ac 3.40-3.52, 1 O 3.56
Te 0.7500 0.9506 0.2676  3 Er 3.20-3.49, 3 Ac 3.40-3.52, 1 O 3.56
O 0.7500 0.5139 0.3925  3 Er 2.20-2.31
O 0.2500 0.4861 0.6075  3 Er 2.20-2.31
O 0.7500 0.5123 0.8644  1 Er 2.20, 2 Ac 2.44
O 0.2500 0.4877 0.1356  1 Er 2.20, 2 Ac 2.44

Computed properties:
Formation energy without anion corrections ... -14.70 eV per formula unit
Space group ... No. 11
D(E_F) ... 0.000 states/eV/cell

---

This record from Alexandria via LeMat-Bulk describes crystalline AcErTl2O6 at its relaxed geometry. The functional is GGA-PBE.

abc: 5.9756 5.9756 6.2295
angles: 61.34 61.34 60.00
Last column: nearest neighbours and their distance in Å.
Fractional positions:
Ac 0.7990 0.7990 0.6031  6 O 2.46-2.62
Er 0.3116 0.3117 0.0651  6 O 2.27-2.30
Tl 0.5293 0.5292 0.4123  6 O 2.26-2.45
Tl 0.0231 0.0231 0.9308  6 O 2.23-2.44
O 0.6128 0.2253 0.2426  2 Tl 2.26-2.44, 1 Er 2.27
O 0.2253 0.9194 0.2425  2 Tl 2.26-2.44, 1 Er 2.27
O 0.9194 0.6128 0.2426  2 Tl 2.26-2.44, 1 Er 2.27
O 0.3794 0.7070 0.7587  2 Tl 2.23-2.45, 1 Er 2.30, 1 Ac 2.46
O 0.7070 0.1548 0.7588  2 Tl 2.23-2.45, 1 Er 2.30, 1 Ac 2.46
O 0.1548 0.3794 0.7587  2 Tl 2.23-2.45, 1 Er 2.30, 1 Ac 2.46

Computed properties:
Formation energy without anion corrections ... -20.38 eV per formula unit
Space group ... No. 146

---

This record from Alexandria via LeMat-Bulk describes crystalline Ac2ErUO8 at its relaxed geometry. The functional is GGA-PBE.

abc: 3.9988 5.7116 7.7535
angles: 90.00 90.00 90.04
Last column: nearest neighbours and their distance in Å.
Fractional positions:
Ac 0.5000 0.5000 0.7512  8 O 2.50-2.56
Ac 0.5000 0.5000 0.2488  8 O 2.50-2.56
Er 0.0000 0.0000 0.5000  8 O 2.37-2.49
U 0.0000 0.0000 0.0000  8 O 2.16-2.35
O 0.0004 0.7771 0.2246  1 U 2.16
O 0.5007 0.7853 0.0000  2 U 2.34-2.35, 1 O 2.45, 2 Ac 2.53
O 0.9996 0.2229 0.2246  1 U 2.16
O 0.9996 0.2229 0.7754  1 U 2.16
O 0.4993 0.2147 0.0000  2 U 2.34-2.35, 1 O 2.45, 2 Ac 2.53
O 0.0004 0.7771 0.7754  1 U 2.16
O 0.5001 0.7758 0.5000  2 Er 2.37-2.38, 2 Ac 2.50, 1 O 2.56
O 0.4999 0.2242 0.5000  2 Er 2.37-2.38, 2 Ac 2.50, 1 O 2.56

Computed properties:
Formation energy without anion corrections ... -38.05 eV per formula unit
Space group ... No. 47
D(E_F) ... 6.830 states/eV/cell

---

This record from Alexandria via LeMat-Bulk describes crystalline Ac4ErZn3O12 at its relaxed geometry. The functional is GGA-PBE.

abc: 7.0585 7.0585 7.0585
angles: 109.47 109.47 109.47
Last column: nearest neighbours and their distance in Å.
Fractional positions:
Ac 0.5000 0.5000 0.5000  12 O 2.88
Ac 0.0000 0.0000 0.5000  12 O 2.88
Ac 0.5000 0.0000 0.0000  12 O 2.88
Ac 0.0000 0.5000 0.0000  12 O 2.88
Er 0.0000 0.0000 0.0000  6 O 2.12
Zn 0.5000 0.0000 0.5000  6 O 1.95-2.04
Zn 0.5000 0.5000 0.0000  6 O 1.95-2.04
Zn 0.0000 0.5000 0.5000  6 O 1.95-2.04
O 0.2500 0.5000 0.7500  2 Zn 2.04
O 0.7398 0.0000 0.7398  1 Zn 1.95, 1 Er 2.12
O 0.2602 0.0000 0.2602  1 Zn 1.95, 1 Er 2.12
O 0.7500 0.5000 0.2500  2 Zn 2.04
O 0.7398 0.7398 0.0000  1 Zn 1.95, 1 Er 2.12
O 0.2602 0.2602 0.0000  1 Zn 1.95, 1 Er 2.12
O 0.7500 0.2500 0.5000  2 Zn 2.04
O 0.2500 0.7500 0.5000  2 Zn 2.04
O 0.5000 0.2500 0.7500  2 Zn 2.04
O 0.0000 0.7398 0.7398  1 Zn 1.95, 1 Er 2.12
O 0.5000 0.7500 0.2500  2 Zn 2.04
O 0.0000 0.2602 0.2602  1 Zn 1.95, 1 Er 2.12

Computed properties:
Formation energy without anion corrections ... -47.82 eV per formula unit
Space group ... No. 229
D(E_F) ... 6.536 states/eV/cell

---

This record from Alexandria via LeMat-Bulk describes crystalline Ac2ErZnO6 at its relaxed geometry. The functional is GGA-PBE.

abc: 5.8771 5.9902 8.3704
angles: 90.00 90.67 90.00
Last column: nearest neighbours and their distance in Å.
Fractional positions:
Ac 0.0125 0.9545 0.2486  6 O 2.51-2.78
Ac 0.5125 0.5455 0.7486  6 O 2.51-2.78
Ac 0.9875 0.0455 0.7514  6 O 2.51-2.78
Ac 0.4875 0.4545 0.2514  6 O 2.51-2.78
Er 0.5000 0.0000 0.0000  6 O 2.21-2.22
Er 0.0000 0.5000 0.5000  6 O 2.21-2.22
Zn 0.5000 0.0000 0.5000  6 O 2.11-2.13
Zn 0.0000 0.5000 0.0000  6 O 2.11-2.13
O 0.2860 0.7032 0.0504  1 Zn 2.11, 1 Er 2.22
O 0.7860 0.7968 0.5504  1 Zn 2.11, 1 Er 2.22
O 0.7140 0.2968 0.9496  1 Zn 2.11, 1 Er 2.22
O 0.2140 0.2032 0.4496  1 Zn 2.11, 1 Er 2.22
O 0.2986 0.7116 0.4495  1 Zn 2.13, 1 Er 2.21
O 0.7986 0.7884 0.9495  1 Zn 2.13, 1 Er 2.21
O 0.7014 0.2884 0.5505  1 Zn 2.13, 1 Er 2.21
O 0.2014 0.2116 0.0505  1 Zn 2.13, 1 Er 2.21
O 0.9066 0.5311 0.2442  1 Zn 2.13, 1 Er 2.21
O 0.4066 0.9689 0.7442  1 Zn 2.13, 1 Er 2.21
O 0.0934 0.4689 0.7558  1 Zn 2.13, 1 Er 2.21
O 0.5934 0.0311 0.2558  1 Zn 2.13, 1 Er 2.21

Computed properties:
Formation energy without anion corrections ... -27.66 eV per formula unit
Space group ... No. 14
D(E_F) ... 11.995 states/eV/cell

---

This record from Alexandria via LeMat-Bulk describes crystalline Ac2ErZrO6 at its relaxed geometry. The functional is GGA-PBE.

abc: 6.0350 6.0649 8.4784
angles: 90.00 90.40 90.00
Last column: nearest neighbours and their distance in Å.
Fractional positions:
Ac 0.0098 0.9425 0.2466  4 O 2.50-2.62
Ac 0.5098 0.5575 0.7466  4 O 2.50-2.62
Ac 0.9902 0.0575 0.7534  4 O 2.50-2.62
Ac 0.4902 0.4425 0.2534  4 O 2.50-2.62
Er 0.5000 0.0000 0.0000  6 O 2.24-2.26
Er 0.0000 0.5000 0.5000  6 O 2.24-2.26
Zr 0.5000 0.0000 0.5000  6 O 2.19-2.22
Zr 0.0000 0.5000 0.0000  6 O 2.19-2.22
O 0.3006 0.6937 0.0504  1 Zr 2.20, 1 Er 2.26
O 0.8006 0.8063 0.5504  1 Zr 2.20, 1 Er 2.26
O 0.6994 0.3063 0.9496  1 Zr 2.20, 1 Er 2.26
O 0.1994 0.1937 0.4496  1 Zr 2.20, 1 Er 2.26
O 0.3011 0.7035 0.4413  1 Zr 2.22, 1 Er 2.26
O 0.8011 0.7965 0.9413  1 Zr 2.22, 1 Er 2.26
O 0.6989 0.2965 0.5587  1 Zr 2.22, 1 Er 2.26
O 0.1989 0.2035 0.0587  1 Zr 2.22, 1 Er 2.26
O 0.8959 0.5261 0.2462  1 Zr 2.19, 1 Er 2.24
O 0.3959 0.9739 0.7462  1 Zr 2.19, 1 Er 2.24
O 0.1041 0.4739 0.7538  1 Zr 2.19, 1 Er 2.24
O 0.6041 0.0261 0.2538  1 Zr 2.19, 1 Er 2.24

Computed properties:
Formation energy without anion corrections ... -32.79 eV per formula unit
Space group ... No. 14
D(E_F) ... 4.654 states/eV/cell

---

This record from Alexandria via LeMat-Bulk describes crystalline AcEr3Os at its relaxed geometry. The functional is GGA-PBE.

abc: 5.4570 5.4570 5.4570
angles: 90.00 90.00 90.00
Last column: nearest neighbours and their distance in Å.
Fractional positions:
Ac 0.5000 0.5000 0.5000  12 Er 3.86
Os 0.0000 0.0000 0.0000  6 Er 2.73
Er 0.0000 0.5000 0.0000  2 Os 2.73
Er 0.0000 0.0000 0.5000  2 Os 2.73
Er 0.5000 0.0000 0.0000  2 Os 2.73

Computed properties:
Space group ... No. 221
Formation enthalpy at 0 K ... -0.0670 eV per atom
D(E_F) ... 6.711 states/eV/cell

---

This record from Alexandria via LeMat-Bulk describes crystalline AcErOs at its relaxed geometry. The functional is GGA-PBE.

abc: 4.9091 4.9666 8.6872
angles: 106.61 106.41 90.00
Last column: nearest neighbours and their distance in Å.
Fractional positions:
Ac 0.6066 0.1066 0.2132  4 Os 3.25, 1 Ac 3.39, 4 Er 3.61
Ac 0.3934 0.8934 0.7867  4 Os 3.25, 1 Ac 3.39, 4 Er 3.61
Os 0.7500 0.5000 0.0000  2 Os 2.45
Os 0.2500 0.5000 0.0000  2 Os 2.45
Er 0.1636 0.6636 0.3271  2 Os 2.88
Er 0.8364 0.3365 0.6729  2 Os 2.88

Computed properties:
Space group ... No. 71
Formation enthalpy at 0 K ... 0.2922 eV per atom
D(E_F) ... 4.083 states/eV/cell

---

This record from Alexandria via LeMat-Bulk describes crystalline AcErOs at its relaxed geometry. The functional is GGA-PBE.

abc: 4.9643 4.9643 4.9643
angles: 60.00 60.00 60.00
Last column: nearest neighbours and their distance in Å.
Fractional positions:
Ac 0.5000 0.5000 0.5000  4 Os 3.04
Os 0.2500 0.2500 0.2500  4 Er 3.04, 4 Ac 3.04
Er 0.0000 0.0000 0.0000  4 Os 3.04

Computed properties:
Space group ... No. 216
Formation enthalpy at 0 K ... -0.0682 eV per atom
D(E_F) ... 2.730 states/eV/cell